1.
The following is a DFT calculation (PBE) of CaTbAl2 after structural relaxation.

Cell lengths 3.6334, 3.6334, 7.4311 Å; angles 90.00, 90.00, 90.00 degrees
Last column: nearest neighbours and their distance in Å.
Fractional positions:
Ca: 0.5000 0.5000 0.5000  8 Al 3.20
Tb: 0.5000 0.5000 0.0000  8 Al 3.14
Al: 0.0000 0.0000 0.7571  4 Tb 3.14, 4 Ca 3.20
Al: 0.0000 0.0000 0.2429  4 Tb 3.14, 4 Ca 3.20

Calculated values
SG ... P4/mmm (123)
Uncorrected energy ... -3.824 eV per atom

2.
The following is a DFT calculation (PBE) of Ho2SbN after structural relaxation.

Cell lengths 4.4975, 4.4975, 8.8989 Å; angles 90.01, 90.01, 90.00 degrees
Last column: nearest neighbours and their distance in Å.
Fractional positions:
Ho: 0.7502 0.7502 0.8248  1 N 2.20
Ho: 0.7500 0.2500 0.5000  4 N 2.35
Ho: 0.2498 0.2498 0.1752  1 N 2.20
Ho: 0.2500 0.7500 0.5000  4 N 2.35
Sb: 0.2502 0.2502 0.8111  5 Ho 3.18-3.24, 1 N 3.46
Sb: 0.7498 0.7498 0.1889  5 Ho 3.18-3.24, 1 N 3.46
N: 0.2500 0.2500 0.4218  5 Ho 2.20-2.35
N: 0.7500 0.7500 0.5782  5 Ho 2.20-2.35

Calculated values
SG ... P4/nmm (129)
Energy above the lowest structure with this stoichiometry ... 0.000 eV/f.u.
Raw formation energy ... -1384 meV/atom

3.
The following is a DFT calculation (PBE) of RbZrTl after structural relaxation.

Cell lengths 3.4135, 3.4135, 17.0278 Å; angles 90.00, 90.00, 90.00 degrees
Last column: nearest neighbours and their distance in Å.
Fractional positions:
Tl: 0.0000 0.0000 0.8035  4 Zr 3.32, 4 Tl 3.41
Tl: 0.0000 0.0000 0.4463  4 Tl 3.41
Rb: 0.5000 0.5000 0.2608  4 Rb 3.41
Rb: 0.5000 0.5000 0.6348  4 Rb 3.41, 4 Tl 3.75
Zr: 0.0000 0.0000 0.0525  8 Zr 3.11-3.41
Zr: 0.5000 0.5000 0.9375  8 Zr 3.11-3.41, 4 Tl 3.32

Calculated values
SG ... P4mm (99)
Energy above the lowest structure with this stoichiometry ... 0.533 eV/f.u.

4.
The following is a DFT calculation (PBE) of Gd2TmZr after structural relaxation.

Cell lengths 3.4264, 3.4264, 9.8437 Å; angles 90.00, 90.00, 90.00 degrees
Last column: nearest neighbours and their distance in Å.
Fractional positions:
Gd: 0.0000 0.0000 0.7347  4 Zr 3.35, 4 Gd 3.43, 4 Tm 3.56
Gd: 0.0000 0.0000 0.2653  4 Zr 3.35, 4 Gd 3.43, 4 Tm 3.56
Tm: 0.5000 0.5000 0.0000  4 Tm 3.43, 8 Gd 3.56
Zr: 0.5000 0.5000 0.5000  8 Gd 3.35, 4 Zr 3.43

Calculated values
SG ... P4/mmm (123)
Energy above the lowest structure with this stoichiometry ... 0.000 eV/f.u.

5.
The following is a DFT calculation (PBE) of HfF after structural relaxation.

Cell lengths 3.0944, 3.0944, 7.6696 Å; angles 90.00, 90.00, 120.00 degrees
Last column: nearest neighbours and their distance in Å.
Fractional positions:
Hf: 0.3333 0.6667 0.6872  4 F 2.24-2.39
Hf: 0.6667 0.3333 0.1872  4 F 2.24-2.39
F: 0.3333 0.6667 0.3948  4 Hf 2.24-2.39
F: 0.6667 0.3333 0.8948  4 Hf 2.24-2.39

Calculated values
SG ... P6_3mc (186)
Energy above the lowest structure with this stoichiometry ... 1.077 eV/f.u.
Raw formation energy ... -1598 meV/atom

6.
The following is a DFT calculation (PBE) of SrPu2CuN4 after structural relaxation.

Cell lengths 3.5159, 6.0083, 11.4886 Å; angles 90.00, 90.00, 107.01 degrees
Last column: nearest neighbours and their distance in Å.
Fractional positions:
Sr: 0.0961 0.1921 0.7500  2 N 2.64
Sr: 0.9039 0.8079 0.2500  2 N 2.64
Pu: 0.3689 0.7379 0.5573  6 N 2.22-2.41
Pu: 0.6311 0.2621 0.0573  6 N 2.22-2.41
Pu: 0.6311 0.2621 0.4427  6 N 2.22-2.41
Pu: 0.3689 0.7379 0.9427  6 N 2.22-2.41
Cu: 0.8245 0.6489 0.7500  4 N 1.96-2.10
Cu: 0.1755 0.3511 0.2500  4 N 1.96-2.10
N: 0.2563 0.5126 0.0996  1 Cu 1.96
N: 0.7437 0.4874 0.5996  1 Cu 1.96
N: 0.7437 0.4874 0.9004  1 Cu 1.96
N: 0.2563 0.5126 0.4004  1 Cu 1.96
N: 0.0000 0.0000 0.5000  4 Pu 2.41
N: 0.0000 0.0000 0.0000  4 Pu 2.41
N: 0.4248 0.8496 0.7500  2 Cu 2.10, 2 Pu 2.30
N: 0.5752 0.1504 0.2500  2 Cu 2.10, 2 Pu 2.30

Calculated values
SG ... Cmcm (63)
Raw formation energy ... -893 meV/atom

7.
The following is a DFT calculation (PBE) of KZnCdCl5 after structural relaxation.

Cell lengths 7.3915, 7.3915, 9.4141 Å; angles 103.58, 103.58, 106.27 degrees
Last column: nearest neighbours and their distance in Å.
Fractional positions:
K: 0.3472 0.6528 0.2500  5 Cl 3.12-3.21
K: 0.6528 0.3472 0.7500  5 Cl 3.12-3.21
Zn: 0.6865 0.3135 0.2500  4 Cl 2.29-2.31
Zn: 0.3135 0.6865 0.7500  4 Cl 2.29-2.31
Cd: 0.0000 0.0000 0.5000  6 Cl 2.55-2.76
Cd: 0.0000 0.0000 0.0000  6 Cl 2.55-2.76
Cl: 0.0831 0.9169 0.2500  2 Cd 2.55
Cl: 0.9169 0.0831 0.7500  2 Cd 2.55
Cl: 0.9106 0.3243 0.1172  1 Zn 2.29
Cl: 0.0894 0.6757 0.8828  1 Zn 2.29
Cl: 0.6757 0.0894 0.3828  1 Zn 2.29
Cl: 0.3243 0.9106 0.6172  1 Zn 2.29
Cl: 0.7509 0.6128 0.4340  1 Zn 2.31
Cl: 0.2491 0.3872 0.5660  1 Zn 2.31
Cl: 0.3872 0.2491 0.0660  1 Zn 2.31
Cl: 0.6128 0.7509 0.9340  1 Zn 2.31

Calculated values
SG ... C2/c (15)
Raw formation energy ... -1341 meV/atom

8.
The following is a DFT calculation (PBE) of Sc4Al2C after structural relaxation.

Cell lengths 4.5050, 4.5050, 7.7313 Å; angles 73.06, 73.06, 90.00 degrees
Last column: nearest neighbours and their distance in Å.
Fractional positions:
Sc: 0.1613 0.1613 0.6774  1 C 2.27
Sc: 0.8387 0.8387 0.3226  1 C 2.27
Sc: 0.0000 0.5000 0.0000  2 C 2.25
Sc: 0.5000 0.0000 0.0000  2 C 2.25
C: 0.0000 0.0000 0.0000  6 Sc 2.25-2.27
Al: 0.3694 0.3694 0.2612  9 Sc 2.91-3.21
Al: 0.6306 0.6306 0.7388  9 Sc 2.91-3.21

Calculated values
SG ... I4/mmm (139)
Uncorrected energy ... -6.342 eV per atom

9.
The following is a DFT calculation (PBE) of Sn2Cl2O after structural relaxation.

Cell lengths 3.8066, 6.5101, 11.7227 Å; angles 84.61, 99.34, 90.00 degrees
Last column: nearest neighbours and their distance in Å.
Fractional positions:
Sn: 0.1423 0.0068 0.2847  3 Cl 2.40-2.68
Sn: 0.8577 0.9932 0.7153  3 Cl 2.40-2.68
Sn: 0.3049 0.5806 0.6097  3 O 2.16-2.21
Sn: 0.6951 0.4194 0.3903  3 O 2.16-2.21
Cl: 0.0588 0.2565 0.1176  1 Sn 2.40
Cl: 0.9412 0.7435 0.8824  1 Sn 2.40
Cl: 0.4021 0.2211 0.8042  2 Sn 2.68
Cl: 0.5979 0.7789 0.1958  2 Sn 2.68
O: 0.2114 0.5756 0.4229  3 Sn 2.16-2.21
O: 0.7886 0.4244 0.5771  3 Sn 2.16-2.21

Calculated values
SG ... C2/m (12)
Energy above the lowest structure with this stoichiometry ... 0.759 eV/f.u.
Raw formation energy ... -969 meV/atom

10.
The following is a DFT calculation (PBE) of Ac2Zn3Cd after structural relaxation.

Cell lengths 4.1033, 4.8302, 8.7807 Å; angles 105.96, 103.51, 90.00 degrees
Last column: nearest neighbours and their distance in Å.
Fractional positions:
Ac: 0.1333 0.1333 0.2666  10 Zn 3.37-3.54, 2 Cd 3.48
Ac: 0.8673 0.3673 0.7347  8 Zn 3.41-3.61, 4 Cd 3.52
Zn: 0.7034 0.7034 0.4068  3 Zn 2.50-2.62
Zn: 0.5436 0.5436 0.0872  1 Zn 2.62, 2 Cd 2.77
Zn: 0.2910 0.7910 0.5821  2 Zn 2.50, 1 Cd 2.79
Cd: 0.4613 0.9613 0.9227  3 Zn 2.77-2.79

Calculated values
SG ... Imm2 (44)
Energy above the lowest structure with this stoichiometry ... 0.071 eV/f.u.

11.
The following is a DFT calculation (PBE) of Tb12ThSc6 after structural relaxation.

Cell lengths 9.0539, 9.0539, 9.0539 Å; angles 109.47, 109.47, 109.47 degrees
Last column: nearest neighbours and their distance in Å.
Fractional positions:
Tb: 0.2661 0.0689 0.8029  1 Sc 2.99
Tb: 0.2661 0.4632 0.1971  1 Sc 2.99
Tb: 0.7339 0.5368 0.8029  1 Sc 2.99
Tb: 0.7339 0.9311 0.1971  1 Sc 2.99
Tb: 0.0689 0.8029 0.2661  1 Sc 2.99
Tb: 0.4632 0.1971 0.2661  1 Sc 2.99
Tb: 0.5368 0.8029 0.7339  1 Sc 2.99
Tb: 0.9311 0.1971 0.7339  1 Sc 2.99
Tb: 0.8029 0.2661 0.0689  1 Sc 2.99
Tb: 0.1971 0.2661 0.4632  1 Sc 2.99
Tb: 0.8029 0.7339 0.5368  1 Sc 2.99
Tb: 0.1971 0.7339 0.9311  1 Sc 2.99
Th: 0.0000 0.0000 0.0000  12 Tb 3.46
Sc: 0.3615 0.5000 0.8615  1 Sc 2.90, 2 Tb 2.99
Sc: 0.6385 0.5000 0.1385  1 Sc 2.90, 2 Tb 2.99
Sc: 0.5000 0.8615 0.3615  1 Sc 2.90, 2 Tb 2.99
Sc: 0.5000 0.1385 0.6385  1 Sc 2.90, 2 Tb 2.99
Sc: 0.8615 0.3615 0.5000  1 Sc 2.90, 2 Tb 2.99
Sc: 0.1385 0.6385 0.5000  1 Sc 2.90, 2 Tb 2.99

Calculated values
SG ... Im-3 (204)
Uncorrected energy ... -5.078 eV per atom

12.
The following is a DFT calculation (PBE) of NdSm2Os after structural relaxation.

Cell lengths 3.4748, 3.4748, 9.5729 Å; angles 90.00, 90.00, 90.00 degrees
Last column: nearest neighbours and their distance in Å.
Fractional positions:
Nd: 0.5000 0.5000 0.5000  4 Nd 3.47
Os: 0.5000 0.5000 0.0000  8 Sm 2.99
Sm: 0.0000 0.0000 0.8226  4 Os 2.99
Sm: 0.0000 0.0000 0.1774  4 Os 2.99

Calculated values
SG ... P4/mmm (123)
Energy above the lowest structure with this stoichiometry ... 0.509 eV/f.u.

Which size of the total moment belongs to each record? In order, 0.000, 0.000, 0.000, 14.347, 0.749, 7.000, 0.000, 0.000, 0.000, 0.000, 0.000, 0.000 μB per formula unit.